1.
A relaxed Dy6Er2TmTh3 crystal. Source: Alexandria via LeMat-Bulk, functional PBE-GGA.

DFT formation energy	0.026	eV/atom

Cell lengths 6.151, 6.151, 11.700 Å; angles 95.04, 95.04, 119.96 degrees
Positions (direct):
Th  0.833  0.167  0.500
Th  0.167  0.833  0.500
Th  0.500  0.500  0.500
Dy  0.084  0.417  0.252
Dy  0.751  0.751  0.252
Dy  0.417  0.084  0.252
Dy  0.916  0.583  0.748
Dy  0.583  0.916  0.748
Dy  0.249  0.249  0.748
Tm  0.000  0.000  0.000
Er  0.667  0.333  0.000
Er  0.333  0.667  0.000

2.
A relaxed EuMgAgRh crystal. Source: Alexandria via LeMat-Bulk, functional PBE-GGA.

DFT formation energy	-0.240	eV/atom

Cell lengths 4.895, 4.895, 4.895 Å; angles 60.00, 60.00, 60.00 degrees
Positions (direct):
Ag  0.250  0.250  0.250
Rh  0.750  0.750  0.750
Eu  0.000  0.000  0.000
Mg  0.500  0.500  0.500

3.
A relaxed RbMg2IO crystal. Source: Alexandria via LeMat-Bulk, functional PBE-GGA.

formation energy from raw total energies	412	meV per atom

Cell lengths 6.481, 4.474, 6.481 Å; angles 90.00, 90.00, 90.00 degrees
Positions (direct):
Mg  0.500  0.000  0.000
Mg  0.000  0.000  0.500
Rb  0.000  0.000  0.000
I  0.500  0.500  0.500
O  0.000  0.500  0.000

4.
A relaxed Np3Zn2Ga4 crystal. Source: Alexandria via LeMat-Bulk, functional PBE-GGA.

DFT formation energy	-0.120	eV/atom

Cell lengths 5.728, 8.231, 8.231 Å; angles 60.12, 90.00, 90.00 degrees
Positions (direct):
Ga  0.000  0.828  0.170
Ga  0.000  0.169  0.495
Ga  0.500  0.830  0.172
Ga  0.000  0.172  0.830
Ga  0.500  0.495  0.169
Ga  0.000  0.831  0.505
Ga  0.500  0.170  0.828
Ga  0.500  0.505  0.831
Zn  0.000  0.502  0.836
Zn  0.500  0.164  0.498
Zn  0.000  0.498  0.164
Zn  0.500  0.836  0.502
Np  0.750  0.836  0.836
Np  0.250  0.500  0.500
Np  0.250  0.836  0.836
Np  0.250  0.164  0.164
Np  0.750  0.164  0.164
Np  0.750  0.500  0.500

5.
A relaxed Ca2AgGe crystal. Source: Alexandria via LeMat-Bulk, functional PBE-GGA.

DFT formation energy	-0.470	eV/atom

Cell lengths 3.554, 5.259, 5.259 Å; angles 90.00, 90.00, 90.00 degrees
Positions (direct):
Ca  0.000  0.500  0.000
Ca  0.000  0.000  0.500
Ag  0.500  0.500  0.500
Ge  0.500  0.000  0.000

6.
A relaxed Dy2GaPt crystal. Source: Alexandria via LeMat-Bulk, functional PBE-GGA.

DFT formation energy	-0.952	eV/atom

Cell lengths 4.383, 5.919, 7.797 Å; angles 114.26, 90.00, 90.00 degrees
Positions (direct):
Ga  0.250  0.318  0.702
Ga  0.750  0.682  0.298
Pt  0.250  0.359  0.209
Pt  0.750  0.641  0.791
Dy  0.750  0.205  0.933
Dy  0.250  0.795  0.067
Dy  0.250  0.766  0.590
Dy  0.750  0.234  0.410

7.
A relaxed NiICl4 crystal. Source: Alexandria via LeMat-Bulk, functional PBE-GGA.

formation energy from raw total energies	-346	meV per atom

Cell lengths 5.946, 8.052, 9.250 Å; angles 108.37, 99.13, 111.96 degrees
Positions (direct):
Cl  0.680  0.985  0.317
Cl  0.320  0.015  0.683
Cl  0.137  0.331  0.317
Cl  0.863  0.669  0.683
Cl  0.021  0.874  0.091
Cl  0.979  0.126  0.909
Cl  0.430  0.783  0.909
Cl  0.570  0.217  0.091
I  0.609  0.359  0.718
I  0.391  0.641  0.282
Ni  0.199  0.949  0.898
Ni  0.801  0.051  0.102

8.
A relaxed CaZrCu crystal. Source: Alexandria via LeMat-Bulk, functional PBE-GGA.

DFT formation energy	0.339	eV/atom
relative energy among the computed polymorphs	0.301	eV per atom

Cell lengths 4.405, 4.405, 4.542 Å; angles 90.00, 90.00, 120.00 degrees
Positions (direct):
Cu  0.667  0.333  0.501
Ca  0.000  0.000  0.999
Zr  0.333  0.667  0.499

9.
A relaxed PuCu2Bi crystal. Source: Alexandria via LeMat-Bulk, functional PBE-GGA.

DFT formation energy	0.113	eV/atom

Cell lengths 4.077, 4.527, 4.527 Å; angles 90.00, 90.00, 90.00 degrees
Positions (direct):
Cu  0.000  0.500  0.000
Cu  0.000  0.000  0.500
Bi  0.500  0.000  0.000
Pu  0.500  0.500  0.500

10.
A relaxed PmCd3Au crystal. Source: Alexandria via LeMat-Bulk, functional PBE-GGA.

DFT formation energy	-0.370	eV/atom
relative energy among the computed polymorphs	0.000	eV per atom

Cell lengths 5.573, 5.986, 7.590 Å; angles 90.00, 109.93, 90.00 degrees
Positions (direct):
Au  0.180  0.948  0.737
Au  0.854  0.448  0.824
Cd  0.712  0.706  0.477
Cd  0.712  0.189  0.477
Cd  0.323  0.689  0.084
Cd  0.866  0.448  0.196
Cd  0.168  0.948  0.364
Cd  0.323  0.206  0.084
Pm  0.283  0.448  0.650
Pm  0.751  0.948  0.910

11.
A relaxed Er5Al2Tl crystal. Source: Alexandria via LeMat-Bulk, functional PBE-GGA.

DFT formation energy	-0.315	eV/atom

Cell lengths 7.758, 7.758, 9.007 Å; angles 115.51, 115.51, 90.00 degrees
Positions (direct):
Er  0.187  0.020  0.708
Er  0.520  0.687  0.708
Er  0.313  0.813  0.292
Er  0.000  0.000  0.000
Er  0.020  0.520  0.708
Er  0.980  0.480  0.292
Er  0.480  0.313  0.292
Er  0.500  0.500  0.000
Er  0.687  0.187  0.708
Er  0.813  0.980  0.292
Al  0.623  0.123  0.000
Al  0.877  0.623  0.000
Al  0.123  0.377  0.000
Al  0.377  0.877  0.000
Tl  0.750  0.750  0.500
Tl  0.250  0.250  0.500

12.
A relaxed CoPd4Pt4 crystal. Source: Alexandria via LeMat-Bulk, functional PBE-GGA.

DFT formation energy	-0.035	eV/atom

Cell lengths 3.925, 6.204, 6.204 Å; angles 84.26, 71.56, 71.56 degrees
Positions (direct):
Pd  0.329  0.671  0.671
Pd  0.000  0.671  0.329
Pd  0.000  0.329  0.671
Pd  0.671  0.329  0.329
Pt  0.337  0.325  0.000
Pt  0.663  0.000  0.675
Pt  0.337  0.000  0.325
Pt  0.663  0.675  0.000
Co  0.000  0.000  0.000

| no. | magnetic moment (μB/f.u.) |
| --- | --- |
| 1 | 0.00 |
| 2 | 6.94 |
| 3 | 0.00 |
| 4 | 11.55 |
| 5 | 0.00 |
| 6 | 0.00 |
| 7 | 0.98 |
| 8 | 0.00 |
| 9 | 5.78 |
| 10 | 0.00 |
| 11 | 0.00 |
| 12 | 5.09 |